No. 1
DFT (PBE) results for crystalline Er2TiNi at its relaxed geometry.

Cell: 3.3353 3.3353 29.1660 Å, 90.00 90.00 120.00°
Last column: nearest neighbours and their distance in Å.
Element x y z (fractional)
1 Er 0.0000 0.0000 0.1017  3 Ni 2.70, 1 Ti 2.97
2 Er 0.0000 0.0000 0.8983  3 Ni 2.70, 1 Ti 2.97
3 Er 0.3333 0.6667 0.5649  3 Ni 2.70, 1 Ti 2.97
4 Er 0.3333 0.6667 0.7684  3 Ni 2.70, 1 Ti 2.97
5 Er 0.6667 0.3333 0.2316  3 Ni 2.70, 1 Ti 2.97
6 Er 0.6667 0.3333 0.4351  3 Ni 2.70, 1 Ti 2.97
7 Ti 0.0000 0.0000 0.0000  2 Er 2.97
8 Ti 0.3333 0.6667 0.6667  2 Er 2.97
9 Ti 0.6667 0.3333 0.3333  2 Er 2.97
10 Ni 0.0000 0.0000 0.5000  6 Er 2.70
11 Ni 0.3333 0.6667 0.1667  6 Er 2.70
12 Ni 0.6667 0.3333 0.8333  6 Er 2.70

**Crystal system**: trigonal
**Density**: 7.82 g/cm3
**Total moment**: 5.52 μB/cell
**Symmetry**: No. 166
**Energy of formation from the pure elements**: 322.2 meV per atom



No. 2
DFT (PBE) results for crystalline CuSe2Cl at its relaxed geometry.

Cell: 5.0538 5.0538 2.9147 Å, 90.00 90.00 90.00°
Last column: nearest neighbours and their distance in Å.
Element x y z (fractional)
1 Cu 0.0000 0.0000 0.0000  2 Cu 2.91, 8 Se 2.92
2 Se 0.0000 0.5000 0.5000  2 Se 2.91, 4 Cl 2.92, 4 Cu 2.92
3 Se 0.5000 0.0000 0.5000  2 Se 2.91, 4 Cl 2.92, 4 Cu 2.92
4 Cl 0.5000 0.5000 0.0000  2 Cl 2.91, 8 Se 2.92

**Crystal system**: tetragonal
**Density**: 5.73 g/cm3
**Raw formation energy**: 555.9 meV per atom
**Total moment**: 0.00 μB/cell
**Symmetry**: No. 123



No. 3
DFT (PBE) results for crystalline Nd3ZnAg at its relaxed geometry.

Cell: 10.3580 10.3580 5.2770 Å, 90.00 90.00 150.51°
Last column: nearest neighbours and their distance in Å.
Element x y z (fractional)
1 Nd 0.0643 0.9357 0.7500  2 Zn 3.21, 2 Ag 3.25
2 Nd 0.2492 0.7508 0.7500  4 Ag 3.19-3.21, 4 Zn 3.24-3.26
3 Nd 0.4332 0.5668 0.7500  2 Zn 3.18, 2 Ag 3.22
4 Nd 0.5668 0.4332 0.2500  2 Zn 3.18, 2 Ag 3.22
5 Nd 0.7508 0.2492 0.2500  4 Ag 3.19-3.21, 4 Zn 3.24-3.26
6 Nd 0.9357 0.0643 0.2500  2 Zn 3.21, 2 Ag 3.25
7 Zn 0.1553 0.8447 0.2500  8 Nd 3.18-3.26
8 Zn 0.8447 0.1553 0.7500  8 Nd 3.18-3.26
9 Ag 0.3408 0.6592 0.2500  8 Nd 3.19-3.25
10 Ag 0.6592 0.3408 0.7500  8 Nd 3.19-3.25

**Crystal system**: orthorhombic
**Density**: 7.22 g/cm3
**Total moment**: 0.22 μB/cell
**Symmetry**: No. 63
**Energy of formation from the pure elements**: -212.7 meV per atom



No. 4
DFT (PBE) results for crystalline Ti2AlHIr at its relaxed geometry.

Cell: 4.0148 4.0148 3.9399 Å, 90.00 90.00 90.00°
Last column: nearest neighbours and their distance in Å.
Element x y z (fractional)
1 Ti 0.0000 0.5000 0.0000  2 H 2.01
2 Ti 0.5000 0.0000 0.0000  2 H 2.01
3 Al 0.0000 0.0000 0.5000  8 Ti 2.81, 4 Ir 2.84
4 H 0.5000 0.5000 0.0000  2 Ir 1.97, 4 Ti 2.01
5 Ir 0.5000 0.5000 0.5000  2 H 1.97

**Crystal system**: tetragonal
**Density**: 8.26 g/cm3
**VASP energy**: -0.507 Ry/atom
**Total moment**: 0.00 μB/cell
**Symmetry**: No. 123



> density of number 2 (CuSe2Cl)?

5.73 g/cm3



> Among the records above, which one has the lowest density?

CuSe2Cl